The following is a PBE calculation of a relaxed ZrTeBr4 crystal, from the Alexandria database.

The space group is F-43m (No. 216) and the conventional cell measures 8.5580, 8.5580 and 8.5580 Å, with angles of 90.00, 90.00 and 90.00 degrees. The asymmetric unit holds Zr at (0.0000, 0.0000, 0.0000), Te at (0.2500, 0.2500, 0.2500) and Br at (0.1259, 0.1259, 0.6259).

As for the density of states at the Fermi level: 32.3 states/eV per cell. Its formation energy from raw total energies is 292 kJ/mol of formula units. The calculation puts the total energy at -2.56 eV per atom. The value obtained for the volume is 26.12 Å³ per atom.

The following is a PBE calculation of a relaxed RbHf3N crystal, from the Alexandria database.

The space group is Pm-3m (No. 221) and the conventional cell measures 4.6681, 4.6681 and 4.6681 Å, with angles of 90.00, 90.00 and 90.00 degrees. The asymmetric unit holds Rb at (0.0000, 0.0000, 0.0000), Hf at (0.0000, 0.5000, 0.5000) and N at (0.5000, 0.5000, 0.5000).

As for the density of states at the Fermi level: 5.6 states/eV per cell. Its formation energy from raw total energies is 207 kJ/mol of formula units. The calculation puts the total energy at -7.40 eV per atom. The value obtained for the volume is 20.34 Å³ per atom.

The following is a PBE calculation of a relaxed Ho4NiRu3 crystal, from the Alexandria database.

The space group is P4/mmm (No. 123) and the conventional cell measures 4.7904, 4.7904 and 6.7357 Å, with angles of 90.00, 90.00 and 90.00 degrees. The asymmetric unit holds Ho at (0.0000, 0.5000, 0.2480), Ni at (0.0000, 0.0000, 0.5000), Ru at (0.0000, 0.0000, 0.0000), Ru at (0.5000, 0.5000, 0.0000) and Ru at (0.5000, 0.5000, 0.5000).

As for the density of states at the Fermi level: 4.5 states/eV per cell. The value obtained for the formation energy from the elements is -401.4 meV per atom. The calculation puts the total energy at -6.89 eV per atom. The value obtained for the volume is 19.32 Å³ per atom.